*one*
Computed, not measured: an optimized crystal structure of Hg2BO at the PBE level of DFT.

DOS at the Fermi energy, states/eV/cell: 6.1
Symmetry: Fm-3m, No. 225
Total magnetization, μB/cell: 0.0
Crystal system: cubic

Lattice parameters (Å, degrees): 4.4162 4.4162 4.4162 60.00 60.00 60.00
Sites, in units of the cell vectors:
B (0.0000, 0.0000, 0.0000)
Hg (0.2500, 0.2500, 0.2500)
Hg (0.7500, 0.7500, 0.7500)
O (0.5000, 0.5000, 0.5000)

=====

*two*
Computed, not measured: an optimized crystal structure of Hg2BO at the PBE level of DFT.

DOS at the Fermi energy, states/eV/cell: 2.4
Symmetry: I-42d, No. 122
Total magnetization, μB/cell: 0.0
Crystal system: tetragonal

Lattice parameters (Å, degrees): 5.7220 5.7220 5.9380 61.20 61.20 90.00
Sites, in units of the cell vectors:
B (0.5000, 0.5000, 0.0000)
B (0.2500, 0.7500, 0.5000)
Hg (0.6147, 0.1250, 0.2500)
Hg (0.1353, 0.6250, 0.2500)
Hg (0.3750, 0.3853, 0.7500)
Hg (0.8750, 0.8647, 0.7500)
O (0.0000, 0.0000, 0.0000)
O (0.7500, 0.2500, 0.5000)

=====

We find *two* to be the most stable, with the next structure 0.511 eV/atom higher.

=====

*one*
Computed, not measured: an optimized crystal structure of HgBPO2 at the PBE level of DFT.

DOS at the Fermi energy, states/eV/cell: 3.0
Symmetry: P4/mmm, No. 123
Total magnetization, μB/cell: 0.4
Crystal system: tetragonal

Lattice parameters (Å, degrees): 3.4137 3.4137 5.3075 90.00 90.00 90.00
Sites, in units of the cell vectors:
P (0.0000, 0.0000, 0.5000)
B (0.0000, 0.0000, 0.0000)
Hg (0.5000, 0.5000, 0.5000)
O (0.0000, 0.5000, 0.0000)
O (0.5000, 0.0000, 0.0000)

=====

*two*
Computed, not measured: an optimized crystal structure of HgBPO2 at the PBE level of DFT.

DOS at the Fermi energy, states/eV/cell: 5.0
Symmetry: P4/mmm, No. 123
Total magnetization, μB/cell: 1.0
Crystal system: tetragonal

Lattice parameters (Å, degrees): 4.0120 4.0120 5.4519 90.00 90.00 90.00
Sites, in units of the cell vectors:
P (0.0000, 0.0000, 0.5000)
B (0.5000, 0.5000, 0.5000)
Hg (0.0000, 0.0000, 0.0000)
O (0.0000, 0.5000, 0.0000)
O (0.5000, 0.0000, 0.0000)

=====

We find *one* to be the most stable, with the next structure 1.345 eV/atom higher.

=====

*one*
Computed, not measured: an optimized crystal structure of HgBP2O at the PBE level of DFT.

DOS at the Fermi energy, states/eV/cell: 5.4
Symmetry: P4/mmm, No. 123
Total magnetization, μB/cell: 1.4
Crystal system: tetragonal

Lattice parameters (Å, degrees): 5.0582 5.0582 4.0829 90.00 90.00 90.00
Sites, in units of the cell vectors:
P (0.0000, 0.5000, 0.0000)
P (0.5000, 0.0000, 0.0000)
B (0.5000, 0.5000, 0.5000)
Hg (0.0000, 0.0000, 0.0000)
O (0.0000, 0.0000, 0.5000)

=====

*two*
Computed, not measured: an optimized crystal structure of HgBP2O at the PBE level of DFT.

DOS at the Fermi energy, states/eV/cell: 1.6
Symmetry: P4/mmm, No. 123
Total magnetization, μB/cell: 0.0
Crystal system: tetragonal

Lattice parameters (Å, degrees): 5.5513 5.5513 2.6183 90.00 90.00 90.00
Sites, in units of the cell vectors:
P (0.0000, 0.5000, 0.0000)
P (0.5000, 0.0000, 0.0000)
B (0.0000, 0.0000, 0.0000)
Hg (0.5000, 0.5000, 0.5000)
O (0.0000, 0.0000, 0.5000)

=====

We find *two* to be the most stable, with the next structure 1.791 eV/atom higher.

=====

*one*
Computed, not measured: an optimized crystal structure of Hg3BOs at the PBE level of DFT.

DOS at the Fermi energy, states/eV/cell: 2.7
Symmetry: Pm-3m, No. 221
Total magnetization, μB/cell: 0.6
Crystal system: cubic

Lattice parameters (Å, degrees): 5.2566 5.2566 5.2566 90.00 90.00 90.00
Sites, in units of the cell vectors:
B (0.5000, 0.5000, 0.5000)
Os (0.0000, 0.0000, 0.0000)
Hg (0.0000, 0.5000, 0.0000)
Hg (0.0000, 0.0000, 0.5000)
Hg (0.5000, 0.0000, 0.0000)

=====

*two*
Computed, not measured: an optimized crystal structure of Hg3BOs at the PBE level of DFT.

DOS at the Fermi energy, states/eV/cell: 5.0
Symmetry: Pm-3m, No. 221
Total magnetization, μB/cell: 2.5
Crystal system: cubic

Lattice parameters (Å, degrees): 4.5515 4.5515 4.5515 90.00 90.00 90.00
Sites, in units of the cell vectors:
B (0.0000, 0.0000, 0.0000)
Os (0.5000, 0.5000, 0.5000)
Hg (0.0000, 0.5000, 0.0000)
Hg (0.0000, 0.0000, 0.5000)
Hg (0.5000, 0.0000, 0.0000)

=====

We find *two* to be the most stable, with the next structure 0.241 eV/atom higher.